DFT (PBE) results for a geometry-optimized HfSe2Br2 structure.

Unit cell a=3.6652 b=3.6652 c=22.8183 alpha=90.00 beta=90.00 gamma=90.00
Closest atoms and distances in Å follow each position.
Space group I4/mmm (No. 139)
Symmetry-distinct sites (fractional):
Hf 0.0000 0.0000 0.0000 x2  8 Se 3.01
Se 0.0000 0.0000 0.4333 x4  4 Hf 3.01, 1 Se 3.04
Br 0.0000 0.5000 0.2500 x4  4 Br 2.59

DFT (PBE) results for a geometry-optimized HfSeBr3 structure.

Unit cell a=5.3633 b=5.3633 c=5.3633 alpha=90.00 beta=90.00 gamma=90.00
Closest atoms and distances in Å follow each position.
Space group Pm-3m (No. 221)
Symmetry-distinct sites (fractional):
Hf 0.0000 0.0000 0.0000 x1  12 Br 3.79
Se 0.5000 0.5000 0.5000 x1  6 Br 2.68
Br 0.0000 0.5000 0.5000 x3  2 Se 2.68

DFT (PBE) results for a geometry-optimized Hf2Se2Br structure.

Unit cell a=7.7748 b=7.7748 c=3.4144 alpha=90.00 beta=90.00 gamma=90.00
Closest atoms and distances in Å follow each position.
Space group P4/mbm (No. 127)
Symmetry-distinct sites (fractional):
Hf 0.1385 0.3615 0.0000 x4  6 Se 2.79-2.93, 2 Br 3.01, 1 Hf 3.05
Se 0.1445 0.6445 0.5000 x4  6 Hf 2.79-2.93
Br 0.0000 0.0000 0.0000 x2  4 Hf 3.01

Number 1: N(E_F) 3.3 states/eV/f.u., formation energy from raw total energies -0.149 eV/atom. Number 2: N(E_F) 7.3 states/eV/f.u., formation energy from raw total energies 0.732 eV/atom. Number 3: N(E_F) 2.0 states/eV/f.u., formation energy from raw total energies -0.892 eV/atom.